VASP calculation (PBE with a Hubbard U) on a relaxed PaVBrO4 crystal.

Output
**Total DFT energy (no corrections)**: -0.293 hartree per atom
**Total magnetic moment**: 1.0 μB/f.u.

Cell and atoms, written as CIF:
```
data_PaVBrO4
_cell_length_a 10.6252
_cell_length_b 6.8613
_cell_length_c 6.8849
_cell_angle_alpha 90.00
_cell_angle_beta 106.13
_cell_angle_gamma 90.00
_symmetry_space_group_name_H-M 'C 1 2/m 1'
_symmetry_Int_Tables_number 12
_symmetry_space_group_name_Hall '-C 2y'
loop_
_atom_site_label
_atom_site_type_symbol
_atom_site_fract_x
_atom_site_fract_y
_atom_site_fract_z
_atom_site_occupancy
Pa1 Pa 0.2435 0.0000 0.1236 1
V1 V 0.1294 0.5000 0.2840 1
Br1 Br 0.0101 0.0000 0.7576 1
O1 O 0.0434 0.5000 0.7964 1
O2 O 0.2016 0.3081 0.1453 1
O3 O 0.2082 0.5000 0.5446 1
```